A relaxed NaScAg2 crystal, computed with PBE-GGA.

The density of states at the Fermi level comes out at 2.2 states/eV/cell. For the energy of formation, the calculation gives -0.13 eV per atom. The energy above the lowest structure with this stoichiometry is 0.000 eV/atom. For the total magnetic moment, the calculation gives 0.000 μB/atom.

It has space group P4/mmm (No. 123), with a = 3.409 Å, b = 3.409 Å, c = 7.536 Å, α = 90.00°, β = 90.00° and γ = 90.00°. The distinct sites, in fractional coordinates, are Na at (0.000, 0.000, 0.000), Sc at (0.000, 0.000, 0.500) and Ag at (0.500, 0.500, 0.283).